Entry 1:
Density functional theory data (PBE-GGA) for a relaxed structure of CsZr2Cd.

The space group is I-42d (No. 122) and the conventional cell measures 4.5100, 4.5100 and 23.0878 Å, with angles of 90.00, 90.00 and 90.00 degrees. The asymmetric unit holds Cs at (0.0000, 0.0000, 0.0000), Zr at (0.2232, 0.2500, 0.6250) and Cd at (0.0000, 0.0000, 0.5000).

For the formation energy, the calculation gives 0.973 eV/atom. As for the density: 6.1 g/cm3. The volume is 29.35 Å³/atom. The value obtained for the total energy is -59.891 eV for the cell shown. As for the crystal system: tetragonal.

---

Entry 2:
Density functional theory data (PBE-GGA) for a relaxed structure of Er6TlRh.

The space group is C2/m (No. 12) and the conventional cell measures 7.0116, 11.3124 and 6.6377 Å, with angles of 90.00, 113.54 and 90.00 degrees. The asymmetric unit holds Er at (0.2100, 0.1962, 0.2397), Er at (0.2314, 0.0000, 0.7764), Tl at (0.0000, 0.5000, 0.5000) and Rh at (0.0000, 0.0000, 0.0000).

For the formation energy, the calculation gives -0.110 eV/atom. As for the density: 9.0 g/cm3. The volume is 30.17 Å³/atom. The value obtained for the total energy is -75.944 eV for the cell shown. As for the crystal system: monoclinic.

---

Entry 3:
Density functional theory data (PBE-GGA) for a relaxed structure of KCeCl3.

The space group is Pm-3m (No. 221) and the conventional cell measures 5.6341, 5.6341 and 5.6341 Å, with angles of 90.00, 90.00 and 90.00 degrees. The asymmetric unit holds K at (0.0000, 0.0000, 0.0000), Ce at (0.5000, 0.5000, 0.5000) and Cl at (0.0000, 0.5000, 0.5000).

As for the density: 2.7 g/cm3. The volume is 35.77 Å³/atom. The value obtained for the total energy is -21.600 eV for the cell shown. As for the crystal system: cubic. The uncorrected formation energy is -174 kJ per mole of atoms.

---

density of number 3 (KCeCl3)? 2.7 g/cm3

---

The highest density belongs to which entry? Er6TlRh

---

Which formula does entry 3 have? KCeCl3

---

Which of these has the highest density? Er6TlRh